# 1
First-principles (PBE-GGA) data for a relaxed structure of Sc2RhAu2, as listed in the Alexandria database.

a = 7.447 Å, b = 7.447 Å, c = 3.437 Å
α = 90.00°, β = 90.00°, γ = 90.00°
Atoms (fractional coordinates):
Sc  0.173  0.327  0.000
Sc  0.327  0.827  0.000
Sc  0.673  0.173  0.000
Sc  0.827  0.673  0.000
Rh  0.000  0.000  0.500
Rh  0.500  0.500  0.500
Au  0.132  0.632  0.500
Au  0.368  0.132  0.500
Au  0.632  0.868  0.500
Au  0.868  0.368  0.500

## Properties
ΔE to the lowest computed polymorph, meV per atom: 0
Space group: P4/mbm (127)


# 2
First-principles (PBE-GGA) data for a relaxed structure of Sc2Rh2Au, as listed in the Alexandria database.

a = 7.386 Å, b = 7.386 Å, c = 3.234 Å
α = 90.00°, β = 90.00°, γ = 90.00°
Atoms (fractional coordinates):
Sc  0.165  0.335  0.000
Sc  0.335  0.835  0.000
Sc  0.665  0.165  0.000
Sc  0.835  0.665  0.000
Rh  0.136  0.636  0.500
Rh  0.364  0.136  0.500
Rh  0.636  0.864  0.500
Rh  0.864  0.364  0.500
Au  0.000  0.000  0.500
Au  0.500  0.500  0.500

## Properties
ΔE to the lowest computed polymorph, meV per atom: 0
Space group: P4/mbm (127)


# 3
First-principles (PBE-GGA) data for a relaxed structure of ScRh2Au, as listed in the Alexandria database.

a = 3.992 Å, b = 3.992 Å, c = 8.159 Å
α = 90.00°, β = 90.00°, γ = 90.00°
Atoms (fractional coordinates):
Sc  0.000  0.000  0.000
Sc  0.500  0.500  0.500
Rh  0.000  0.000  0.500
Rh  0.000  0.500  0.250
Rh  0.500  0.000  0.750
Rh  0.500  0.500  0.000
Au  0.000  0.500  0.750
Au  0.500  0.000  0.250

## Properties
Space group: I-4m2 (119)
DFT total energy, eV per cell: -52.80


# 4
First-principles (PBE-GGA) data for a relaxed structure of Sc2Rh2Au, as listed in the Alexandria database.

a = 3.693 Å, b = 3.693 Å, c = 14.218 Å
α = 90.00°, β = 90.00°, γ = 90.00°
Atoms (fractional coordinates):
Sc  0.000  0.000  0.113
Sc  0.000  0.000  0.887
Sc  0.500  0.500  0.387
Sc  0.500  0.500  0.613
Rh  0.000  0.500  0.250
Rh  0.000  0.500  0.750
Rh  0.500  0.000  0.250
Rh  0.500  0.000  0.750
Au  0.000  0.000  0.500
Au  0.500  0.500  0.000

## Properties
ΔE to the lowest computed polymorph, meV per atom: 308
Space group: I4/mmm (139)


# 5
First-principles (PBE-GGA) data for a relaxed structure of Sc3RhAu2, as listed in the Alexandria database.

a = 3.348 Å, b = 3.348 Å, c = 10.060 Å
α = 90.00°, β = 90.00°, γ = 90.00°
Atoms (fractional coordinates):
Sc  0.000  0.000  0.000
Sc  0.000  0.000  0.346
Sc  0.000  0.000  0.654
Rh  0.500  0.500  0.500
Au  0.500  0.500  0.173
Au  0.500  0.500  0.827

## Properties
Space group: P4/mmm (123)
DFT total energy, eV per cell: -38.07


# 6
First-principles (PBE-GGA) data for a relaxed structure of Sc5RhAu4, as listed in the Alexandria database.

a = 3.373 Å, b = 3.373 Å, c = 16.835 Å
α = 90.00°, β = 90.00°, γ = 90.00°
Atoms (fractional coordinates):
Sc  0.000  0.000  0.000
Sc  0.000  0.000  0.205
Sc  0.000  0.000  0.408
Sc  0.000  0.000  0.592
Sc  0.000  0.000  0.795
Rh  0.500  0.500  0.500
Au  0.500  0.500  0.101
Au  0.500  0.500  0.306
Au  0.500  0.500  0.694
Au  0.500  0.500  0.899

## Properties
Space group: P4/mmm (123)
DFT total energy, eV per cell: -60.51